A PBEsol-optimized structure of RbCuF3. Source: the Alexandria database, functional meta-GGA SCAN.

Structure (extended XYZ):
```
10
Lattice="-1.1812 -4.4202 -3.4451 3.9397 -0.6548 4.1051 -3.9365 1.6850 3.8034" Properties=species:S:1:pos:R:3 pbc="T T T"
F -3.1090 -3.1889 0.4166
F -2.5581 -1.1100 2.1563
F -0.4574 -1.9918 0.2597
F 1.9310 -0.2011 4.0468
F -0.7206 -1.3981 4.2038
F 1.3801 -2.2799 2.3071
Rb 0.0008 0.2576 1.9771
Rb 0.0024 0.7727 5.9314
Cu 1.3793 -2.5375 0.3300
Cu -2.5589 -1.3676 0.1792
```

Calculated values
Raw formation energy ... -2.35 eV per atom
Space group ... I4/mcm
Volume ... 13.48 Å³/atom
VASP energy ... -11.66 eV/atom